Compound: TaMnCo2
Source: Alexandria
Functional: PBE-GGA
Structure: relaxed

Magnetization in Bohr magnetons per cell: 2.60
Relative energy among the computed polymorphs in eV per formula unit: 0.26
Calculated total energy in eV/cell: -71.14
Energy of formation in eV/atom: -0.085

```
data_TaMnCo2
_chemical_formula_sum 'Ta2 Mn2 Co4'
_symmetry_space_group_name_H-M 'I 4/m m m'
_symmetry_Int_Tables_number 139
_symmetry_space_group_name_Hall '-I 4 2'
_cell_length_a 3.688
_cell_length_b 3.688
_cell_length_c 7.287
_cell_angle_alpha 90.00
_cell_angle_beta 90.00
_cell_angle_gamma 90.00
loop_
_atom_site_label
_atom_site_fract_x
_atom_site_fract_y
_atom_site_fract_z
Ta1 0.000 0.000 0.000
Mn1 0.000 0.000 0.500
Co1 0.000 0.500 0.250
```